VASP calculation (GGA+U) on a relaxed Sm2CoTe2S2O14 crystal.

Lattice parameters (Å, degrees): 5.2930 7.8259 8.0806 63.65 72.90 85.87
With the nearest neighbours (Å) after each atom.
Sites, in units of the cell vectors:
1 Co 0.0000 0.0000 0.5000  6 O 2.05-2.09
2 O 0.1906 0.9194 0.0878  1 S 1.51
3 O 0.7467 0.4334 0.1134  1 Te 1.91
4 O 0.5250 0.7215 0.2306  1 S 1.48
5 O 0.2754 0.1917 0.2522  1 Te 1.90, 1 Co 2.08
6 O 0.1020 0.5841 0.2667  1 S 1.48
7 O 0.7367 0.0624 0.3420  1 Te 1.93, 1 Co 2.05
8 O 0.1294 0.7706 0.4373  1 S 1.48
9 O 0.8706 0.2294 0.5627  1 S 1.48
10 O 0.2633 0.9376 0.6580  1 Te 1.93, 1 Co 2.05
11 O 0.8980 0.4159 0.7333  1 S 1.48
12 O 0.7246 0.8083 0.7478  1 Te 1.90, 1 Co 2.08
13 O 0.4750 0.2785 0.7694  1 S 1.48
14 O 0.2533 0.5666 0.8866  1 Te 1.91
15 O 0.8094 0.0806 0.9122  1 S 1.51
16 S 0.2384 0.7474 0.2584  4 O 1.48-1.51
17 S 0.7616 0.2526 0.7416  4 O 1.48-1.51
18 Sm 0.0768 0.2515 0.0155  8 O 2.30-2.55
19 Sm 0.9232 0.7485 0.9845  8 O 2.30-2.55
20 Te 0.5077 0.2632 0.3536  3 O 1.90-1.93
21 Te 0.4923 0.7368 0.6464  3 O 1.90-1.93

Properties
Size of the total moment, μB/f.u.: 3.00
Space group: P-1, No. 2
Total energy, eV for the cell shown: -137.6